(1)
Compound: Cr2Cu5Pd12
Source: the Alexandria database
Functional: GGA-PBE
Structure: optimized geometry

Cell and atoms, written as POSCAR:
```
Cr2Cu5Pd12
1.0
7.1395 -4.4301 0.0000
7.1395 4.4301 0.0000
-1.2268 0.0000 4.4827
Cr Cu Pd
2 5 12
direct
0.2487 0.7513 0.0000
0.7513 0.2487 0.0000
0.1969 0.1969 0.8418
0.2976 0.2976 0.4129
0.5000 0.5000 0.5000
0.7024 0.7024 0.5871
0.8031 0.8031 0.1582
0.0416 0.5580 0.7936
0.0808 0.0808 0.2552
0.1513 0.6529 0.3837
0.3471 0.8487 0.6163
0.3984 0.3984 0.9680
0.4420 0.9584 0.2064
0.5580 0.0416 0.7936
0.6016 0.6016 0.0320
0.6529 0.1513 0.3837
0.8487 0.3471 0.6163
0.9192 0.9192 0.7448
0.9584 0.4420 0.2064
```

Output
Energy of formation from the pure elements (eV per atom): 0.016
Polymorph energy (0 for the lowest one) (meV per atom): 0

---

(2)
Compound: NpGePbO6
Source: the Alexandria database
Functional: GGA-PBE
Structure: optimized geometry

Cell and atoms, written as POSCAR:
```
NpGePbO6
1.0
5.3517 0.0000 0.0000
-2.6758 4.6347 0.0000
0.0000 0.0000 10.9360
Np Ge Pb O
2 2 2 12
direct
0.3333 0.6667 0.2500
0.6667 0.3333 0.7500
0.3333 0.6667 0.7500
0.6667 0.3333 0.2500
0.0000 0.0000 0.0000
0.0000 0.0000 0.5000
0.0208 0.3808 0.6500
0.0208 0.6401 0.8500
0.3599 0.3808 0.8500
0.3599 0.9792 0.6500
0.3808 0.0208 0.1500
0.3808 0.3599 0.3500
0.6192 0.6401 0.6500
0.6192 0.9792 0.8500
0.6401 0.0208 0.3500
0.6401 0.6192 0.1500
0.9792 0.3599 0.1500
0.9792 0.6192 0.3500
```

Output
Formation energy without anion corrections (eV/atom): -1.96

---

(3)
Compound: Er2Tl5Cl12
Source: the Alexandria database
Functional: GGA-PBE
Structure: optimized geometry

Cell and atoms, written as POSCAR:
```
Er2Tl5Cl12
1.0
7.9836 -4.9247 0.0000
7.9836 4.9247 0.0000
-1.9430 0.0000 7.2534
Er Tl Cl
2 5 12
direct
0.2476 0.7524 0.0000
0.7524 0.2476 0.0000
0.1438 0.1438 0.5043
0.2545 0.2545 0.9952
0.5000 0.5000 0.5000
0.7455 0.7455 0.0048
0.8562 0.8562 0.4957
0.0258 0.0258 0.8116
0.0369 0.6452 0.7914
0.2109 0.5997 0.2460
0.3548 0.9631 0.2086
0.4003 0.7891 0.7540
0.4237 0.4237 0.8189
0.5763 0.5763 0.1811
0.5997 0.2109 0.2460
0.6452 0.0369 0.7914
0.7891 0.4003 0.7540
0.9631 0.3548 0.2086
0.9742 0.9742 0.1884
```

Output
Formation energy without anion corrections (eV/atom): -1.45

---

(4)
Compound: HoZnS
Source: the Alexandria database
Functional: GGA-PBE
Structure: optimized geometry

Cell and atoms, written as POSCAR:
```
HoZnS
1.0
3.8453 0.0000 0.0000
0.0000 3.8453 0.0000
0.0000 0.0000 8.2896
Ho Zn S
2 2 2
direct
0.2500 0.2500 0.1714
0.7500 0.7500 0.8286
0.2500 0.2500 0.5274
0.7500 0.7500 0.4726
0.2500 0.2500 0.8354
0.7500 0.7500 0.1646
```

Output
Formation energy without anion corrections (eV/atom): -1.14

---

(5)
Compound: Mo2WSe4S2
Source: the Alexandria database
Functional: GGA-PBE
Structure: optimized geometry

Cell and atoms, written as POSCAR:
```
Mo2WSe4S2
1.0
3.2755 0.0000 0.0000
-1.6378 2.8367 0.0000
0.0000 0.0000 29.5915
Mo W Se S
2 1 4 2
direct
0.0000 0.0000 0.2392
0.0000 0.0000 0.7608
0.6667 0.3333 0.0000
0.6667 0.3333 0.1820
0.6667 0.3333 0.2963
0.6667 0.3333 0.7037
0.6667 0.3333 0.8180
0.0000 0.0000 0.0522
0.0000 0.0000 0.9478
```

Output
Formation energy without anion corrections (eV/atom): -0.72
Polymorph energy (0 for the lowest one) (meV per atom): 0

---

(6)
Compound: SrTbIr2O8
Source: the Alexandria database
Functional: GGA-PBE
Structure: optimized geometry

Cell and atoms, written as POSCAR:
```
SrTbIr2O8
1.0
5.9287 0.0000 0.0000
-2.9643 5.1344 0.0000
0.0000 0.0000 7.2545
Sr Tb Ir O
1 1 2 8
direct
0.0000 0.0000 0.0000
0.0000 0.0000 0.5000
0.3333 0.6667 0.7892
0.6667 0.3333 0.2108
0.1602 0.3204 0.7132
0.1602 0.8398 0.7132
0.3204 0.1602 0.2868
0.3333 0.6667 0.0395
0.6667 0.3333 0.9605
0.6796 0.8398 0.7132
0.8398 0.1602 0.2868
0.8398 0.6796 0.2868
```

Output
Formation energy without anion corrections (eV/atom): -1.35